Record 1
The following is a PBE calculation of TlCSeBr2 after structural relaxation, from the Alexandria database.

Summary:
**Volume**: 174.5 Å³/cell
**Formation energy from raw total energies**: 1.54 eV per atom

Lattice parameters (Å, degrees): 5.5708 5.5708 5.6235 90.00 90.00 90.00
Closest atoms and distances in Å follow each position.
Atoms (fractional coordinates):
Tl 0.0000 0.0000 0.0000  4 Br 2.79, 2 Se 2.81
C 0.5000 0.5000 0.5000  4 Se 3.94, 8 Br 3.96
Se 0.0000 0.0000 0.5000  2 Tl 2.81
Br 0.0000 0.5000 0.0000  2 Tl 2.79
Br 0.5000 0.0000 0.0000  2 Tl 2.79

=====

Record 2
The following is a PBE calculation of Rb3Pr3NpO8 after structural relaxation, from the Alexandria database.

Summary:
**Volume**: 308.9 Å³/cell
**Formation energy from raw total energies**: -2.63 eV per atom

Lattice parameters (Å, degrees): 7.8998 7.8998 7.8998 55.10 55.10 55.10
Closest atoms and distances in Å follow each position.
Atoms (fractional coordinates):
Rb 0.0000 0.5000 0.5000  6 O 3.01
Rb 0.5000 0.0000 0.5000  6 O 3.01
Rb 0.5000 0.5000 0.0000  6 O 3.01
Pr 0.0000 0.0000 0.5000  6 O 2.42-2.46
Pr 0.0000 0.5000 0.0000  6 O 2.42-2.46
Pr 0.5000 0.0000 0.0000  6 O 2.42-2.46
Np 0.5000 0.5000 0.5000  6 O 2.26
O 0.2259 0.2259 0.2259  3 Pr 2.42
O 0.2456 0.7113 0.7113  1 Np 2.26, 2 Pr 2.46
O 0.2887 0.2887 0.7544  1 Np 2.26, 2 Pr 2.46
O 0.2887 0.7544 0.2887  1 Np 2.26, 2 Pr 2.46
O 0.7113 0.2456 0.7113  1 Np 2.26, 2 Pr 2.46
O 0.7113 0.7113 0.2456  1 Np 2.26, 2 Pr 2.46
O 0.7544 0.2887 0.2887  1 Np 2.26, 2 Pr 2.46
O 0.7741 0.7741 0.7741  3 Pr 2.42

=====

Record 3
The following is a PBE calculation of HPbAu3 after structural relaxation, from the Alexandria database.

Summary:
**Volume**: 158.0 Å³/cell
**Uncorrected energy**: -2.37 eV per atom

Lattice parameters (Å, degrees): 5.4064 5.4064 5.4064 90.00 90.00 90.00
Closest atoms and distances in Å follow each position.
Atoms (fractional coordinates):
H 0.0000 0.0000 0.0000  12 Au 3.82
Pb 0.5000 0.5000 0.5000  6 Au 2.70
Au 0.0000 0.5000 0.5000  2 Pb 2.70
Au 0.5000 0.0000 0.5000  2 Pb 2.70
Au 0.5000 0.5000 0.0000  2 Pb 2.70

=====

Record 4
The following is a PBE calculation of BaNdI2 after structural relaxation, from the Alexandria database.

Summary:
**Volume**: 173.8 Å³/cell
**Formation energy from raw total energies**: -0.93 eV per atom

Lattice parameters (Å, degrees): 11.7508 11.7508 11.7508 20.48 20.48 20.48
Closest atoms and distances in Å follow each position.
Atoms (fractional coordinates):
Ba 0.0000 0.0000 0.0000  2 I 3.57
Nd 0.5000 0.5000 0.5000  6 I 3.25
I 0.1034 0.1034 0.1034  3 Nd 3.25, 1 Ba 3.57
I 0.8966 0.8966 0.8966  3 Nd 3.25, 1 Ba 3.57

=====

Record 5
The following is a PBE calculation of YCdTcPb2 after structural relaxation, from the Alexandria database.

Summary:
**Formation energy**: 2.0 eV per formula unit
**Volume**: 144.2 Å³/cell

Lattice parameters (Å, degrees): 5.2513 5.2513 5.2295 90.00 90.00 90.00
Closest atoms and distances in Å follow each position.
Atoms (fractional coordinates):
Y 0.0000 0.0000 0.0000  8 Pb 3.71, 4 Cd 3.71
Cd 0.5000 0.5000 0.0000  2 Tc 2.61
Tc 0.5000 0.5000 0.5000  2 Cd 2.61, 4 Pb 2.63
Pb 0.0000 0.5000 0.5000  2 Tc 2.63
Pb 0.5000 0.0000 0.5000  2 Tc 2.63

=====

Record 6
The following is a PBE calculation of Tl3H4Au after structural relaxation, from the Alexandria database.

Summary:
**Volume**: 141.9 Å³/cell
**Uncorrected energy**: -2.81 eV per atom

Lattice parameters (Å, degrees): 6.8349 6.8349 4.8608 110.19 110.19 42.28
Closest atoms and distances in Å follow each position.
Atoms (fractional coordinates):
Tl 0.0000 0.0000 0.0000  8 H 3.01
Tl 0.2060 0.2060 0.7040  2 H 2.59-2.64
Tl 0.7940 0.7940 0.2960  2 H 2.59-2.64
H 0.3995 0.3995 0.6436  1 Au 1.67
H 0.3998 0.3998 0.1605  1 Au 1.67
H 0.6002 0.6002 0.8395  1 Au 1.67
H 0.6005 0.6005 0.3564  1 Au 1.67
Au 0.5000 0.5000 0.5000  4 H 1.67

=====

Please write out number 5 again, unchanged.
The following is a PBE calculation of YCdTcPb2 after structural relaxation, from the Alexandria database.

Summary:
**Formation energy**: 2.0 eV per formula unit
**Volume**: 144.2 Å³/cell

Lattice parameters (Å, degrees): 5.2513 5.2513 5.2295 90.00 90.00 90.00
Closest atoms and distances in Å follow each position.
Atoms (fractional coordinates):
Y 0.0000 0.0000 0.0000  8 Pb 3.71, 4 Cd 3.71
Cd 0.5000 0.5000 0.0000  2 Tc 2.61
Tc 0.5000 0.5000 0.5000  2 Cd 2.61, 4 Pb 2.63
Pb 0.0000 0.5000 0.5000  2 Tc 2.63
Pb 0.5000 0.0000 0.5000  2 Tc 2.63

=====

Which value of volume does entry 1 give?
174.5 Å³/cell